# Li7Ni5O12

Li7Ni5O12 after structural relaxation (PBE with a Hubbard U, the Alexandria database).

Cell lengths 5.7565, 6.4284, 6.4314 Å; angles 71.91, 64.11, 77.20 degrees
Atoms (fractional coordinates):
Li (0.0000, 0.0000, 0.0000)
Li (0.0810, 0.3254, 0.1654)
Li (0.2538, 0.0047, 0.4961)
Li (0.4123, 0.6731, 0.8340)
Li (0.5877, 0.3269, 0.1660)
Li (0.7462, 0.9953, 0.5039)
Li (0.9190, 0.6746, 0.8346)
Ni (0.1686, 0.6675, 0.3304)
Ni (0.3313, 0.3297, 0.6689)
Ni (0.5000, 0.0000, 0.0000)
Ni (0.6687, 0.6703, 0.3311)
Ni (0.8314, 0.3325, 0.6696)
O (0.0202, 0.6596, 0.1182)
O (0.1536, 0.9799, 0.2388)
O (0.2134, 0.3517, 0.4205)
O (0.3138, 0.6587, 0.5571)
O (0.3809, 0.0088, 0.7645)
O (0.4503, 0.3096, 0.9194)
O (0.5497, 0.6904, 0.0806)
O (0.6191, 0.9912, 0.2355)
O (0.6862, 0.3413, 0.4429)
O (0.7866, 0.6483, 0.5795)
O (0.8464, 0.0201, 0.7612)
O (0.9798, 0.3404, 0.8818)

For the density, the calculation gives 4379 kg/m³. For the energy relative to the lowest polymorph listed for this composition, the calculation gives 1.6 kJ per mole of atoms.